Record 1
La3CrF after structural relaxation. Source: the Alexandria database, functional GGA+U.

a b c (Å): 5.013 5.013 5.013
angles (deg): 90.00 90.00 90.00
Space group Pm-3m (No. 221)
Inequivalent atoms, fractional coordinates:
La (0.000, 0.000, 0.500) [3 per cell]
Cr (0.500, 0.500, 0.500) [1 per cell]
F (0.000, 0.000, 0.000) [1 per cell]

Calculated values
- Distance to the lowest polymorph of the same formula: 0.0 kJ per mole of atoms

Record 2
LaCrF2 after structural relaxation. Source: the Alexandria database, functional GGA+U.

a b c (Å): 3.9372 3.9372 17.4185
angles (deg): 90.00 90.00 120.00
Space group R-3m (No. 166, hexagonal axes)
Inequivalent atoms, fractional coordinates:
La (0.0000, 0.0000, 0.0000) [3 per cell]
Cr (0.0000, 0.0000, 0.5000) [3 per cell]
F (0.0000, 0.0000, 0.1338) [6 per cell]

Calculated values
- Distance to the lowest polymorph of the same formula: 46.1 kJ per mole of atoms